Computed, not measured: LiTi3Sb after structural relaxation at the PBEsol level of DFT.

## Properties
raw formation energy	896	meV/atom
raw total energy	-27.0	eV for the cell shown
symmetry	No. 221
offset from the most stable computed form	471.7	meV/atom

Cell and atoms, written as POSCAR:
```
LiTi3Sb
1.0
5.032 0.000 0.000
0.000 5.032 0.000
0.000 0.000 5.032
Li Ti Sb
1 3 1
Cartesian
0.000 0.000 0.000
0.000 2.516 2.516
2.516 0.000 2.516
2.516 2.516 0.000
2.516 2.516 2.516
```